! As3PSe PBE optimized geometry; values from VASP
! E_form (uncorrected) ... 0.78 eV per atom
! SG ... No. 221
! Offset from the most stable computed form ... 0.000 eV/atom
! Crystal system ... cubic
&SYSTEM
  ibrav = 0, nat = 5, ntyp = 3
/
ATOMIC_SPECIES
As 74.92 As.upf
P 30.97 P.upf
Se 78.96 Se.upf
CELL_PARAMETERS angstrom
4.7889 0.0000 0.0000
0.0000 4.7889 0.0000
0.0000 0.0000 4.7889
ATOMIC_POSITIONS crystal
As 0.0000 0.0000 0.5000
As 0.0000 0.5000 0.0000
As 0.5000 0.0000 0.0000
P 0.0000 0.0000 0.0000
Se 0.5000 0.5000 0.5000

! GeH2Se2 PBE optimized geometry; values from VASP
! SG ... No. 12
! Offset from the most stable computed form ... 0.164 eV/atom
! Crystal system ... monoclinic
&SYSTEM
  ibrav = 0, nat = 5, ntyp = 3
/
ATOMIC_SPECIES
Ge 72.64 Ge.upf
H 1.01 H.upf
Se 78.96 Se.upf
CELL_PARAMETERS angstrom
3.2698 -2.1076 0.0000
3.2698 2.1076 0.0000
-2.1998 0.0000 7.0630
ATOMIC_POSITIONS crystal
Ge 0.0000 0.0000 0.0000
H 0.4946 0.4946 0.7632
H 0.5054 0.5054 0.2368
Se 0.2599 0.2599 0.7482
Se 0.7401 0.7401 0.2518

! HoThCoAu PBE optimized geometry; values from VASP
! Energy relative to the elements ... -359 meV/atom
! SG ... No. 216
! Crystal system ... cubic
&SYSTEM
  ibrav = 0, nat = 4, ntyp = 4
/
ATOMIC_SPECIES
Ho 164.93 Ho.upf
Th 232.04 Th.upf
Co 58.93 Co.upf
Au 196.97 Au.upf
CELL_PARAMETERS angstrom
0.0000 3.5527 3.5527
3.5527 0.0000 3.5527
3.5527 3.5527 0.0000
ATOMIC_POSITIONS crystal
Ho 0.0000 0.0000 0.0000
Th 0.5000 0.5000 0.5000
Co 0.7500 0.7500 0.7500
Au 0.2500 0.2500 0.2500

! YEr14Pu PBE optimized geometry; values from VASP
! Energy relative to the elements ... 38 meV/atom
! SG ... No. 123
! Crystal system ... tetragonal
&SYSTEM
  ibrav = 0, nat = 16, ntyp = 3
/
ATOMIC_SPECIES
Y 88.91 Y.upf
Er 167.26 Er.upf
Pu 244.00 Pu.upf
CELL_PARAMETERS angstrom
7.0081 0.0000 0.0000
0.0000 7.0081 0.0000
0.0000 0.0000 9.8766
ATOMIC_POSITIONS crystal
Y 0.0000 0.0000 0.0000
Er 0.0000 0.0000 0.5000
Er 0.0000 0.5000 0.0000
Er 0.0000 0.5000 0.5000
Er 0.2519 0.2519 0.2490
Er 0.2519 0.2519 0.7510
Er 0.2519 0.7481 0.2490
Er 0.2519 0.7481 0.7510
Er 0.5000 0.0000 0.0000
Er 0.5000 0.0000 0.5000
Er 0.5000 0.5000 0.5000
Er 0.7481 0.2519 0.2490
Er 0.7481 0.2519 0.7510
Er 0.7481 0.7481 0.2490
Er 0.7481 0.7481 0.7510
Pu 0.5000 0.5000 0.0000

! MnGePSN PBE optimized geometry; values from VASP
! E_form (uncorrected) ... -0.01 eV per atom
! SG ... No. 1
! Offset from the most stable computed form ... 0.146 eV/atom
! Crystal system ... triclinic
&SYSTEM
  ibrav = 0, nat = 5, ntyp = 5
/
ATOMIC_SPECIES
Mn 54.94 Mn.upf
Ge 72.64 Ge.upf
P 30.97 P.upf
S 32.06 S.upf
N 14.01 N.upf
CELL_PARAMETERS angstrom
3.7687 0.0000 0.0000
-0.9406 4.6997 0.0000
-0.7151 -1.0546 5.1166
ATOMIC_POSITIONS crystal
Mn 0.0000 0.0000 0.0000
Ge 0.3116 0.4453 0.3672
P 0.8894 0.5334 0.6834
S 0.5092 0.8643 0.2093
N 0.9120 0.2510 0.8059

! CuSn2TePt PBE optimized geometry; values from VASP
! E_form (uncorrected) ... 0.92 eV per atom
! SG ... No. 123
! Crystal system ... tetragonal
&SYSTEM
  ibrav = 0, nat = 5, ntyp = 4
/
ATOMIC_SPECIES
Cu 63.55 Cu.upf
Sn 118.71 Sn.upf
Te 127.60 Te.upf
Pt 195.08 Pt.upf
CELL_PARAMETERS angstrom
5.8645 0.0000 0.0000
0.0000 5.8645 0.0000
0.0000 0.0000 4.5856
ATOMIC_POSITIONS crystal
Cu 0.0000 0.0000 0.0000
Sn 0.0000 0.5000 0.5000
Sn 0.5000 0.0000 0.5000
Te 0.0000 0.0000 0.5000
Pt 0.5000 0.5000 0.0000

Number 1: size of the total moment 0.00 Bohr magnetons per cell, VASP energy -18.9 eV per cell. Number 2: size of the total moment 0.00 Bohr magnetons per cell, VASP energy -17.8 eV per cell. Number 3: size of the total moment 0.00 Bohr magnetons per cell, VASP energy -23.8 eV per cell. Number 4: size of the total moment 5.97 Bohr magnetons per cell, VASP energy -84.1 eV per cell. Number 5: size of the total moment 3.08 Bohr magnetons per cell, VASP energy -31.7 eV per cell. Number 6: size of the total moment 0.00 Bohr magnetons per cell, VASP energy -16.7 eV per cell.